1.
DFT (GGA-PBE) results for crystalline NiBi at its relaxed geometry.

Lattice parameters (Å, degrees): 3.351 4.010 13.043 90.00 90.00 90.00
Sites, in units of the cell vectors:
Ni1 0.000 0.250 0.054
Ni2 0.000 0.750 0.946
Ni3 0.500 0.250 0.446
Ni4 0.500 0.750 0.554
Bi1 0.000 0.250 0.623
Bi2 0.000 0.750 0.377
Bi3 0.500 0.250 0.877
Bi4 0.500 0.750 0.123

- Symmetry: Imma
- E_tot: -4.713 eV/atom
- Calculated formation energy: 118 meV per atom



2.
DFT (GGA-PBE) results for crystalline SrInAs2Pd5 at its relaxed geometry.

Lattice parameters (Å, degrees): 4.192 4.192 11.071 90.00 90.00 90.00
Sites, in units of the cell vectors:
Sr1 0.000 0.000 0.000
In1 0.000 0.000 0.500
As1 0.500 0.500 0.216
As2 0.500 0.500 0.784
Pd1 0.000 0.500 0.335
Pd2 0.000 0.500 0.665
Pd3 0.500 0.000 0.335
Pd4 0.500 0.000 0.665
Pd5 0.500 0.500 0.000

- Symmetry: P4/mmm
- E_tot: -4.888 eV/atom
- Calculated formation energy: -479 meV per atom



3.
DFT (GGA-PBE) results for crystalline Ta4Nb5 at its relaxed geometry.

Lattice parameters (Å, degrees): 7.227 7.227 7.227 93.00 93.00 153.55
Sites, in units of the cell vectors:
Ta1 0.166 0.166 0.332
Ta2 0.166 0.834 0.000
Ta3 0.834 0.166 0.000
Ta4 0.834 0.834 0.668
Nb1 0.166 0.500 0.666
Nb2 0.500 0.166 0.666
Nb3 0.500 0.500 0.000
Nb4 0.500 0.834 0.334
Nb5 0.834 0.500 0.334

- Symmetry: I4/mmm
- E_tot: -10.882 eV/atom
- Calculated formation energy: -20 meV per atom



4.
DFT (GGA-PBE) results for crystalline Pa2GeSe at its relaxed geometry.

Lattice parameters (Å, degrees): 3.510 3.510 7.116 90.00 90.00 90.00
Sites, in units of the cell vectors:
Pa1 0.000 0.000 0.242
Pa2 0.000 0.000 0.758
Ge1 0.500 0.500 0.000
Se1 0.500 0.500 0.500

- Symmetry: P4/mmm
- E_tot: -7.466 eV/atom
- Uncorrected formation energy: -0.6926 eV/atom



5.
DFT (GGA-PBE) results for crystalline SrOs at its relaxed geometry.

Lattice parameters (Å, degrees): 6.827 6.827 6.827 90.00 90.00 90.00
Sites, in units of the cell vectors:
Sr1 0.000 0.000 0.000
Sr2 0.000 0.500 0.500
Sr3 0.500 0.000 0.500
Sr4 0.500 0.500 0.000
Os1 0.250 0.250 0.750
Os2 0.250 0.750 0.250
Os3 0.750 0.250 0.250
Os4 0.750 0.750 0.750

- Symmetry: F-43m
- E_tot: -4.029 eV/atom
- Calculated formation energy: 2426 meV per atom



6.
DFT (GGA-PBE) results for crystalline GaSn3Hg at its relaxed geometry.

Lattice parameters (Å, degrees): 3.168 9.004 9.966 90.00 90.79 90.00
Sites, in units of the cell vectors:
Ga1 0.000 0.000 0.000
Ga2 0.000 0.500 0.000
Sn1 0.004 0.250 0.797
Sn2 0.476 0.579 0.754
Sn3 0.476 0.921 0.754
Sn4 0.524 0.079 0.246
Sn5 0.524 0.421 0.246
Sn6 0.996 0.750 0.203
Hg1 0.057 0.750 0.496
Hg2 0.943 0.250 0.504

- Symmetry: P2_1/m
- E_tot: -2.946 eV/atom
- Calculated formation energy: 121 meV per atom